w) The following is a DFT calculation (GGA-PBE) of Pt2IBr after structural relaxation.

Geometry as CIF:
```
data_Pt2IBr
_chemical_formula_sum 'Pt8 I4 Br4'
_symmetry_space_group_name_H-M 'F m -3 m'
_symmetry_Int_Tables_number 225
_symmetry_space_group_name_Hall '-F 4 2 3'
_cell_length_a 6.908
_cell_length_b 6.908
_cell_length_c 6.908
_cell_angle_alpha 90.00
_cell_angle_beta 90.00
_cell_angle_gamma 90.00
loop_
_atom_site_label
_atom_site_type_symbol
_atom_site_fract_x
_atom_site_fract_y
_atom_site_fract_z
Pt1 Pt 0.250 0.250 0.250
I1 I 0.000 0.000 0.000
Br1 Br 0.000 0.000 0.500
```

Summary:
**Crystal system**: cubic
**Fermi-level density of states**: 8.54 states/eV per cell
**Total magnetic moment**: 0.000 μB per cell



x) The following is a DFT calculation (GGA-PBE) of Pt2IBr after structural relaxation.

Geometry as CIF:
```
data_Pt2IBr
_chemical_formula_sum 'Pt8 I4 Br4'
_symmetry_space_group_name_H-M 'I -4 2 d'
_symmetry_Int_Tables_number 122
_symmetry_space_group_name_Hall 'I -4 2bw'
_cell_length_a 6.205
_cell_length_b 6.205
_cell_length_c 11.440
_cell_angle_alpha 90.00
_cell_angle_beta 90.00
_cell_angle_gamma 90.00
loop_
_atom_site_label
_atom_site_type_symbol
_atom_site_fract_x
_atom_site_fract_y
_atom_site_fract_z
Pt1 Pt 0.243 0.250 0.125
I1 I 0.000 0.000 0.000
Br1 Br 0.000 0.000 0.500
```

Summary:
**Crystal system**: tetragonal
**Fermi-level density of states**: 18.82 states/eV per cell
**Total magnetic moment**: 0.000 μB per cell



Energy comparison, zero being the most stable, in meV/atom: w) 328; x) 0.